Entry 1:
First-principles (GGA-PBEsol) data for RbAgBi3 after structural relaxation, as listed in Alexandria via LeMat-Bulk.

Results
As for the calculated formation energy: 1.513 eV/atom. The symmetry is No. 221. Its calculated total energy is -1.93 eV/atom.

Cell lengths 5.9796, 5.9796, 5.9796 Å; angles 90.00, 90.00, 90.00 degrees
Atoms (fractional coordinates):
Rb (0.0000, 0.0000, 0.0000)
Ag (0.5000, 0.5000, 0.5000)
Bi (0.0000, 0.0000, 0.5000)
Bi (0.0000, 0.5000, 0.0000)
Bi (0.5000, 0.0000, 0.0000)

***

Entry 2:
First-principles (GGA-PBEsol) data for TaBePSe2 after structural relaxation, as listed in Alexandria via LeMat-Bulk.

Results
The symmetry is No. 123. Its calculated total energy is -5.19 eV/atom. The raw formation energy comes out at 79.1 kJ per mole of atoms.

Cell lengths 4.1219, 4.1219, 4.9936 Å; angles 90.00, 90.00, 90.00 degrees
Atoms (fractional coordinates):
Ta (0.0000, 0.0000, 0.0000)
Be (0.0000, 0.0000, 0.5000)
P (0.5000, 0.5000, 0.0000)
Se (0.0000, 0.5000, 0.5000)
Se (0.5000, 0.0000, 0.5000)

***

Entry 3:
First-principles (GGA-PBEsol) data for Na2BiPCO7 after structural relaxation, as listed in Alexandria via LeMat-Bulk.

Results
The symmetry is No. 11. Its calculated total energy is -6.81 eV/atom. The raw formation energy comes out at -180.4 kJ per mole of atoms.

Cell lengths 5.2774, 6.9258, 9.3535 Å; angles 90.00, 90.69, 90.00 degrees
Atoms (fractional coordinates):
Na (0.2444, 0.0118, 0.2908)
Na (0.2444, 0.4882, 0.2908)
Na (0.7556, 0.5118, 0.7092)
Na (0.7556, 0.9882, 0.7092)
Bi (0.2979, 0.2500, 0.8895)
Bi (0.7021, 0.7500, 0.1105)
P (0.2292, 0.7500, 0.8996)
P (0.7708, 0.2500, 0.1004)
C (0.2554, 0.2500, 0.5961)
C (0.7446, 0.7500, 0.4039)
O (0.0533, 0.2500, 0.1399)
O (0.0542, 0.2500, 0.6791)
O (0.2413, 0.2500, 0.4627)
O (0.2569, 0.7500, 0.0676)
O (0.3717, 0.5714, 0.8401)
O (0.3717, 0.9286, 0.8401)
O (0.4735, 0.2500, 0.6672)
O (0.5265, 0.7500, 0.3328)
O (0.6283, 0.0714, 0.1599)
O (0.6283, 0.4286, 0.1599)
O (0.7431, 0.2500, 0.9324)
O (0.7587, 0.7500, 0.5373)
O (0.9458, 0.7500, 0.3209)
O (0.9467, 0.7500, 0.8601)

***

Entry 4:
First-principles (GGA-PBEsol) data for ZrTePt after structural relaxation, as listed in Alexandria via LeMat-Bulk.

Results
The symmetry is No. 216. Its calculated total energy is -7.00 eV/atom. The raw formation energy comes out at -46.1 kJ per mole of atoms.

Cell lengths 4.6281, 4.6281, 4.6281 Å; angles 60.00, 60.00, 60.00 degrees
Atoms (fractional coordinates):
Zr (0.0000, 0.0000, 0.0000)
Te (0.7500, 0.7500, 0.7500)
Pt (0.2500, 0.2500, 0.2500)

***

Entry 5:
First-principles (GGA-PBEsol) data for TlTePtN2 after structural relaxation, as listed in Alexandria via LeMat-Bulk.

Results
The energy above the lowest structure with this stoichiometry is 826 meV/atom. The symmetry is No. 123. Its calculated total energy is -4.06 eV/atom. The raw formation energy comes out at 190.9 kJ per mole of atoms.

Cell lengths 4.0877, 4.0877, 6.3493 Å; angles 90.00, 90.00, 90.00 degrees
Atoms (fractional coordinates):
Tl (0.0000, 0.0000, 0.0000)
Te (0.0000, 0.0000, 0.5000)
Pt (0.5000, 0.5000, 0.5000)
N (0.0000, 0.5000, 0.0000)
N (0.5000, 0.0000, 0.0000)

***

Entry 6:
First-principles (GGA-PBEsol) data for K2CaBe after structural relaxation, as listed in Alexandria via LeMat-Bulk.

Results
As for the calculated formation energy: 0.703 eV/atom. The symmetry is No. 65. Its calculated total energy is -1.40 eV/atom.

Cell lengths 3.8827, 3.8827, 10.8834 Å; angles 90.00, 90.00, 90.30 degrees
Atoms (fractional coordinates):
K (0.0000, 0.0000, 0.1888)
K (0.0000, 0.0000, 0.8112)
Ca (0.5000, 0.5000, 0.5000)
Be (0.5000, 0.5000, 0.0000)

***

Q: The highest calculated total energy belongs to which entry?
A: K2CaBe

***

Q: The highest calculated total energy belongs to which entry?
A: K2CaBe